MnAlAs2Se | PBE | optimized geometry

Properties
- calculated total energy (eV per atom) = -4.086
- E_form (uncorrected) (eV/atom) = 1.053
- excess energy over the best structure of this formula in the dataset (meV per atom) = 707.1

Lattice parameters (Å, degrees): 4.775 4.775 4.851 90.00 90.00 90.00
Element x y z (fractional)
Mn: 0.000 0.000 0.000
Al: 0.500 0.500 0.500
As: 0.000 0.500 0.500
As: 0.500 0.000 0.500
Se: 0.500 0.500 0.000